No. 1
SiPt2 | GGA-PBE | relaxed

Cell: 3.9732 3.9732 3.0502 Å, 90.00 90.00 90.00°
Last column: nearest neighbours and their distance in Å.
Fractional coordinates of all 3 atoms:
Pt 0.5000 0.0000 0.5000  4 Si 2.50
Si 0.0000 0.0000 0.0000  8 Pt 2.50
Pt 0.0000 0.5000 0.5000  4 Si 2.50

Calculated values
Formation energy (no corrections)   -0.51 eV/atom
Raw total energy   -19.04 eV for the cell shown

---

No. 2
Mg2ScW | GGA-PBE | relaxed

Cell: 5.4424 5.4424 5.2831 Å, 70.30 70.30 32.17°
Last column: nearest neighbours and their distance in Å.
Fractional coordinates of all 4 atoms:
Sc 0.5129 0.5129 0.4269  3 W 2.83-2.95, 2 Sc 3.02, 4 Mg 3.04-3.07
W 0.2562 0.2562 0.3116  3 Sc 2.83-2.95, 6 Mg 2.92-3.08, 2 W 3.02
Mg 0.7437 0.7437 0.8133  5 Mg 2.87-3.02, 4 W 3.01-3.08, 2 Sc 3.22
Mg 0.9871 0.9871 0.9482  5 Mg 2.87-3.02, 2 W 2.92, 4 Sc 3.04-3.07

Calculated values
Excess energy over the best structure of this formula in the dataset   0.127 eV/atom
Raw total energy   -21.21 eV for the cell shown
ΔH_f (0 K)   0.3158 eV per atom

---

No. 3
Na3BrF2 | GGA-PBE | relaxed

Cell: 3.9622 4.6005 11.9217 Å, 90.00 90.00 90.00°
Last column: nearest neighbours and their distance in Å.
Fractional coordinates of all 12 atoms:
Na 0.2500 0.7493 0.7500  2 F 2.27
Na 0.2500 0.2499 0.5382  4 F 2.30-2.31
F 0.7500 0.2502 0.0596  5 Na 2.27-2.31
F 0.2500 0.7498 0.9404  5 Na 2.27-2.31
Na 0.7500 0.2507 0.2500  2 F 2.27
Br 0.2500 0.7510 0.2500  8 Na 3.03-3.21
F 0.2500 0.7498 0.5596  5 Na 2.27-2.31
F 0.7500 0.2502 0.4404  5 Na 2.27-2.31
Na 0.7500 0.7502 0.0382  4 F 2.30-2.31
Br 0.7500 0.2490 0.7500  8 Na 3.03-3.21
Na 0.7500 0.7501 0.4618  4 F 2.30-2.31
Na 0.2500 0.2498 0.9618  4 F 2.30-2.31

Calculated values
Formation energy (no corrections)   -2.32 eV/atom
Excess energy over the best structure of this formula in the dataset   0.000 eV/atom
Raw total energy   -46.53 eV for the cell shown

---

No. 4
TiZnInW2 | GGA-PBE | relaxed

Cell: 4.6686 4.5676 4.6686 Å, 90.00 90.00 90.00°
Last column: nearest neighbours and their distance in Å.
Fractional coordinates of all 5 atoms:
Ti 0.5000 0.5000 0.5000  8 W 3.27, 4 In 3.30
In 0.0000 0.5000 0.0000  2 Zn 2.28
W 0.5000 0.0000 0.0000  2 Zn 2.33
W 0.0000 0.0000 0.5000  2 Zn 2.33
Zn 0.0000 0.0000 0.0000  2 In 2.28, 4 W 2.33

Calculated values
Raw total energy   -30.24 eV for the cell shown
ΔH_f (0 K)   1.5151 eV per atom